1.
DFT (meta-GGA SCAN) results for a crystal of Sr2CaTeO6 relaxed with PBEsol.

Cell: 5.7725 5.8629 8.2005 Å, 90.00 89.77 90.00°
Element x y z (fractional)
Sr1 0.4902 0.5396 0.2506
Sr2 0.0098 0.0396 0.2494
Sr3 0.9902 0.9604 0.7506
Sr4 0.5098 0.4604 0.7494
Ca1 0.5000 0.0000 0.5000
Ca2 0.0000 0.5000 0.0000
Te1 0.5000 0.0000 0.0000
Te2 0.0000 0.5000 0.5000
O1 0.0806 0.5261 0.7287
O2 0.4194 0.0261 0.7713
O3 0.9194 0.4739 0.2713
O4 0.5806 0.9739 0.2287
O5 0.1882 0.7676 0.4533
O6 0.3118 0.2676 0.0467
O7 0.8118 0.2324 0.5467
O8 0.6882 0.7324 0.9533
O9 0.7678 0.1926 0.9606
O10 0.7322 0.6926 0.5394
O11 0.2322 0.8074 0.0394
O12 0.2678 0.3074 0.4606

Values from the calculation:
* space group: P2_1/c, No. 14
* mass density: 5.25 g/cm3
* uncorrected energy: -155.3 eV/f.u.

=====

2.
DFT (meta-GGA SCAN) results for a crystal of La3Sn13Rh4 relaxed with PBEsol.

Cell: 9.6999 9.6999 9.6999 Å, 90.00 90.00 90.00°
Element x y z (fractional)
La1 0.0000 0.2500 0.5000
La2 0.0000 0.7500 0.5000
La3 0.5000 0.0000 0.7500
La4 0.5000 0.0000 0.2500
La5 0.7500 0.5000 0.0000
La6 0.2500 0.5000 0.0000
Sn1 0.5000 0.3466 0.1938
Sn2 0.8062 0.5000 0.3466
Sn3 0.1938 0.5000 0.3466
Sn4 0.6534 0.1938 0.5000
Sn5 0.3466 0.1938 0.5000
Sn6 0.5000 0.6534 0.8062
Sn7 0.0000 0.0000 0.0000
Sn8 0.5000 0.5000 0.5000
Sn9 0.0000 0.3062 0.1534
Sn10 0.5000 0.3466 0.8062
Sn11 0.5000 0.6534 0.1938
Sn12 0.6534 0.8062 0.5000
Sn13 0.3466 0.8062 0.5000
Sn14 0.1938 0.5000 0.6534
Sn15 0.8062 0.5000 0.6534
Sn16 0.1534 0.0000 0.3062
Sn17 0.3062 0.1534 0.0000
Sn18 0.6938 0.8466 0.0000
Sn19 0.1534 0.0000 0.6938
Sn20 0.6938 0.1534 0.0000
Sn21 0.8466 0.0000 0.3062
Sn22 0.8466 0.0000 0.6938
Sn23 0.3062 0.8466 0.0000
Sn24 0.0000 0.6938 0.8466
Sn25 0.0000 0.3062 0.8466
Sn26 0.0000 0.6938 0.1534
Rh1 0.2500 0.2500 0.2500
Rh2 0.7500 0.2500 0.2500
Rh3 0.2500 0.2500 0.7500
Rh4 0.2500 0.7500 0.2500
Rh5 0.7500 0.7500 0.7500
Rh6 0.2500 0.7500 0.7500
Rh7 0.7500 0.7500 0.2500
Rh8 0.7500 0.2500 0.7500

Values from the calculation:
* space group: Pm-3n, No. 223
* mass density: 8.63 g/cm3
* uncorrected energy: -744.7 eV/f.u.

=====

3.
DFT (meta-GGA SCAN) results for a crystal of Ba2NbRe relaxed with PBEsol.

Cell: 5.3056 5.3056 5.3056 Å, 60.00 60.00 60.00°
Element x y z (fractional)
Re1 0.5000 0.5000 0.5000
Nb1 0.0000 0.0000 0.0000
Ba1 0.2500 0.2500 0.2500
Ba2 0.7500 0.7500 0.7500

Values from the calculation:
* space group: Fm-3m, No. 225
* mass density: 8.71 g/cm3
* uncorrected energy: -176.6 eV/f.u.

=====

4.
DFT (meta-GGA SCAN) results for a crystal of Ru2PtBr relaxed with PBEsol.

Cell: 4.3901 4.3901 4.3901 Å, 60.00 60.00 60.00°
Element x y z (fractional)
Ru1 0.2500 0.2500 0.2500
Ru2 0.7500 0.7500 0.7500
Br1 0.0000 0.0000 0.0000
Pt1 0.5000 0.5000 0.5000

Values from the calculation:
* space group: Fm-3m, No. 225
* mass density: 13.24 g/cm3
* relative energy among the computed polymorphs: 0.359 eV/atom

=====

Which formula does entry 3 have?
Ba2NbRe